Record 1
The following is a PBE-GGA calculation of PrDy2Sn after structural relaxation, from Alexandria.

Space-group type   P4/mmm
Density of states at the Fermi level   5.2 states/eV per cell
Energy above the most stable polymorph in this dataset   113 meV/atom

Cell lengths 3.809, 3.809, 8.405 Å; angles 90.00, 90.00, 90.00 degrees
Positions (direct):
Pr (0.500, 0.500, 0.500)
Sn (0.500, 0.500, 0.000)
Dy (0.000, 0.000, 0.786)
Dy (0.000, 0.000, 0.214)

Record 2
The following is a PBE-GGA calculation of ThCrSi2Ir5 after structural relaxation, from Alexandria.

Space-group type   P4/mmm
E_form (uncorrected)   -3.7 eV per formula unit
Density of states at the Fermi level   5.5 states/eV per cell

Cell lengths 3.983, 3.983, 10.384 Å; angles 90.00, 90.00, 90.00 degrees
Each line ends with the local moment (μB).
Positions (direct):
Th (0.000, 0.000, 0.500)  0.01
Cr (0.000, 0.000, 0.000)  0.33
Si (0.500, 0.500, 0.271)  0.00
Si (0.500, 0.500, 0.729)  0.00
Ir (0.000, 0.500, 0.147)  -0.02
Ir (0.500, 0.000, 0.147)  -0.02
Ir (0.000, 0.500, 0.853)  -0.02
Ir (0.500, 0.000, 0.853)  -0.02
Ir (0.500, 0.500, 0.500)  0.01

Number 1: calculated total energy -19.21 eV/cell. Number 2: calculated total energy -75.92 eV/cell.